*one*
Here is crystalline CaTeCI2 at its relaxed geometry from Alexandria. Energies are from PBE.

Summary:
N(E_F) ... 1.58 states/eV/cell
Size of the total moment ... 0.00 μB/f.u.
Calculated volume ... 26.58 Å³ per atom

Cell lengths 5.1840, 5.1840, 4.9448 Å; angles 90.00, 90.00, 90.00 degrees
Space group P4/mmm (No. 123)
One atom of each set of equivalent atoms:
1 Ca 0.0000 0.0000 0.0000 x1
2 Te 0.5000 0.5000 0.0000 x1
3 C 0.5000 0.5000 0.5000 x1
4 I 0.0000 0.5000 0.5000 x2



*two*
Here is crystalline CaTeCI2 at its relaxed geometry from Alexandria. Energies are from PBE.

Summary:
N(E_F) ... 7.65 states/eV/cell
Size of the total moment ... 2.15 μB/f.u.
Calculated volume ... 44.73 Å³ per atom

Cell lengths 5.9850, 5.9850, 6.2433 Å; angles 90.00, 90.00, 90.00 degrees
Space group P4/mmm (No. 123)
One atom of each set of equivalent atoms:
1 Ca 0.0000 0.0000 0.0000 x1
2 Te 0.0000 0.0000 0.5000 x1
3 C 0.5000 0.5000 0.5000 x1
4 I 0.0000 0.5000 0.0000 x2



Energy relative to the most stable one, in meV/atom: *one* 0; *two* 767



*one*
Here is crystalline CaInC3 at its relaxed geometry from Alexandria. Energies are from PBE.

Summary:
N(E_F) ... 3.57 states/eV/cell
Size of the total moment ... 0.00 μB/f.u.
Calculated volume ... 16.81 Å³ per atom

Cell lengths 4.3808, 4.3808, 4.3808 Å; angles 90.00, 90.00, 90.00 degrees
Space group Pm-3m (No. 221)
One atom of each set of equivalent atoms:
1 Ca 0.0000 0.0000 0.0000 x1
2 In 0.5000 0.5000 0.5000 x1
3 C 0.0000 0.5000 0.5000 x3



*two*
Here is crystalline CaInC3 at its relaxed geometry from Alexandria. Energies are from PBE.

Summary:
N(E_F) ... 4.52 states/eV/cell
Size of the total moment ... 1.22 μB/f.u.
Calculated volume ... 18.67 Å³ per atom

Cell lengths 4.5366, 4.5366, 4.5366 Å; angles 90.00, 90.00, 90.00 degrees
Space group Pm-3m (No. 221)
One atom of each set of equivalent atoms:
1 Ca 0.0000 0.0000 0.0000 x1
2 In 0.5000 0.5000 0.5000 x1
3 C 0.0000 0.0000 0.5000 x3



Energy relative to the most stable one, in meV/atom: *one* 0; *two* 759



*one*
Here is crystalline CaIn3C at its relaxed geometry from Alexandria. Energies are from PBE.

Summary:
N(E_F) ... 5.29 states/eV/cell
Size of the total moment ... 1.08 μB/f.u.
Calculated volume ... 43.77 Å³ per atom

Cell lengths 6.0262, 6.0262, 6.0262 Å; angles 90.00, 90.00, 90.00 degrees
Space group Pm-3m (No. 221)
One atom of each set of equivalent atoms:
1 Ca 0.0000 0.0000 0.0000 x1
2 In 0.0000 0.0000 0.5000 x3
3 C 0.5000 0.5000 0.5000 x1



*two*
Here is crystalline CaIn3C at its relaxed geometry from Alexandria. Energies are from PBE.

Summary:
N(E_F) ... 2.47 states/eV/cell
Size of the total moment ... 0.00 μB/f.u.
Calculated volume ... 24.02 Å³ per atom

Cell lengths 4.9338, 4.9338, 4.9338 Å; angles 90.00, 90.00, 90.00 degrees
Space group Pm-3m (No. 221)
One atom of each set of equivalent atoms:
1 Ca 0.0000 0.0000 0.0000 x1
2 In 0.0000 0.5000 0.5000 x3
3 C 0.5000 0.5000 0.5000 x1



Energy relative to the most stable one, in meV/atom: *one* 1278; *two* 0



*one*
Here is crystalline CaIrC2 at its relaxed geometry from Alexandria. Energies are from PBE.

Summary:
N(E_F) ... 5.57 states/eV/cell
Size of the total moment ... 0.00 μB/f.u.
Calculated volume ... 16.35 Å³ per atom

Cell lengths 5.1576, 5.1576, 9.8335 Å; angles 90.00, 90.00, 90.00 degrees
Space group I-42d (No. 122)
One atom of each set of equivalent atoms:
1 Ca 0.0000 0.0000 0.0000 x4
2 Ir 0.0000 0.0000 0.5000 x4
3 C 0.1501 0.2500 0.6250 x8



*two*
Here is crystalline CaIrC2 at its relaxed geometry from Alexandria. Energies are from PBE.

Summary:
N(E_F) ... 5.81 states/eV/cell
Size of the total moment ... 0.00 μB/f.u.
Calculated volume ... 11.36 Å³ per atom

Cell lengths 5.6638, 5.6638, 5.6638 Å; angles 90.00, 90.00, 90.00 degrees
Space group Fm-3m (No. 225)
One atom of each set of equivalent atoms:
1 Ca 0.0000 0.0000 0.0000 x4
2 Ir 0.0000 0.0000 0.5000 x4
3 C 0.2500 0.2500 0.2500 x8



Energy relative to the most stable one, in meV/atom: *one* 0; *two* 693



*one*
Here is crystalline KCa3C at its relaxed geometry from Alexandria. Energies are from PBE.

Summary:
N(E_F) ... 3.41 states/eV/cell
Size of the total moment ... 2.93 μB/f.u.
Calculated volume ... 66.49 Å³ per atom

Cell lengths 6.9275, 6.9275, 6.9275 Å; angles 90.00, 90.00, 90.00 degrees
Space group Pm-3m (No. 221)
One atom of each set of equivalent atoms:
1 K 0.0000 0.0000 0.0000 x1
2 Ca 0.0000 0.0000 0.5000 x3
3 C 0.5000 0.5000 0.5000 x1



*two*
Here is crystalline KCa3C at its relaxed geometry from Alexandria. Energies are from PBE.

Summary:
N(E_F) ... 7.36 states/eV/cell
Size of the total moment ... 0.00 μB/f.u.
Calculated volume ... 31.23 Å³ per atom

Cell lengths 5.3847, 5.3847, 5.3847 Å; angles 90.00, 90.00, 90.00 degrees
Space group Pm-3m (No. 221)
One atom of each set of equivalent atoms:
1 K 0.0000 0.0000 0.0000 x1
2 Ca 0.0000 0.5000 0.5000 x3
3 C 0.5000 0.5000 0.5000 x1



Energy relative to the most stable one, in meV/atom: *one* 1782; *two* 0



*one*
Here is crystalline KCaC3 at its relaxed geometry from Alexandria. Energies are from PBE.

Summary:
N(E_F) ... 3.67 states/eV/cell
Size of the total moment ... 1.47 μB/f.u.
Calculated volume ... 21.78 Å³ per atom

Cell lengths 4.7751, 4.7751, 4.7751 Å; angles 90.00, 90.00, 90.00 degrees
Space group Pm-3m (No. 221)
One atom of each set of equivalent atoms:
1 K 0.0000 0.0000 0.0000 x1
2 Ca 0.5000 0.5000 0.5000 x1
3 C 0.0000 0.5000 0.5000 x3



*two*
Here is crystalline KCaC3 at its relaxed geometry from Alexandria. Energies are from PBE.

Summary:
N(E_F) ... 3.11 states/eV/cell
Size of the total moment ... 2.94 μB/f.u.
Calculated volume ... 19.64 Å³ per atom

Cell lengths 4.6132, 4.6132, 4.6132 Å; angles 90.00, 90.00, 90.00 degrees
Space group Pm-3m (No. 221)
One atom of each set of equivalent atoms:
1 K 0.0000 0.0000 0.0000 x1
2 Ca 0.5000 0.5000 0.5000 x1
3 C 0.0000 0.0000 0.5000 x3



Energy relative to the most stable one, in meV/atom: *one* 0; *two* 531



*one*
Here is crystalline Ca3LaC at its relaxed geometry from Alexandria. Energies are from PBE.

Summary:
N(E_F) ... 13.06 states/eV/cell
Size of the total moment ... 0.00 μB/f.u.
Calculated volume ... 38.13 Å³ per atom

Cell lengths 5.7553, 5.7553, 5.7553 Å; angles 90.00, 90.00, 90.00 degrees
Space group Pm-3m (No. 221)
One atom of each set of equivalent atoms:
1 Ca 0.0000 0.0000 0.5000 x3
2 La 0.0000 0.0000 0.0000 x1
3 C 0.5000 0.5000 0.5000 x1



*two*
Here is crystalline Ca3LaC at its relaxed geometry from Alexandria. Energies are from PBE.

Summary:
N(E_F) ... 3.22 states/eV/cell
Size of the total moment ... 0.00 μB/f.u.
Calculated volume ... 29.61 Å³ per atom

Cell lengths 5.2900, 5.2900, 5.2900 Å; angles 90.00, 90.00, 90.00 degrees
Space group Pm-3m (No. 221)
One atom of each set of equivalent atoms:
1 Ca 0.0000 0.0000 0.5000 x3
2 La 0.5000 0.5000 0.5000 x1
3 C 0.0000 0.0000 0.0000 x1



Energy relative to the most stable one, in meV/atom: *one* 1874; *two* 0



*one*
Here is crystalline LiCaC at its relaxed geometry from Alexandria. Energies are from PBE.

Summary:
N(E_F) ... 7.93 states/eV/cell
Size of the total moment ... 0.00 μB/f.u.
Calculated volume ... 23.66 Å³ per atom

Cell lengths 6.9433, 3.6571, 11.5916 Å; angles 90.00, 105.33, 90.00 degrees
Space group C2/m (No. 12)
One atom of each set of equivalent atoms:
1 Li 0.1120 0.0000 0.4066 x4
2 Ca 0.2000 0.5000 0.8439 x4
3 C 0.0793 0.5000 0.0433 x4



*two*
Here is crystalline LiCaC at its relaxed geometry from Alexandria. Energies are from PBE.

Summary:
N(E_F) ... 2.56 states/eV/cell
Size of the total moment ... 0.00 μB/f.u.
Calculated volume ... 18.53 Å³ per atom

Cell lengths 3.7856, 3.7856, 26.8651 Å; angles 90.00, 90.00, 120.00 degrees
Space group R3m (No. 160, hexagonal axes)
One atom of each set of equivalent atoms:
1 Li 0.0000 0.0000 0.0000 x3
2 Li 0.0000 0.0000 0.3739 x3
3 Ca 0.0000 0.0000 0.1287 x3
4 Ca 0.0000 0.0000 0.5861 x3
5 C 0.0000 0.0000 0.6821 x3
6 C 0.0000 0.0000 0.7315 x3



Energy relative to the most stable one, in meV/atom: *one* 97; *two* 0